DFT (GGA-PBE) results for a relaxed KCrOs2 crystal.

crystal system: orthorhombic
ΔE_f: 1.061 eV per atom
E: -28.94 eV per formula unit
excess energy over the best structure of this formula in the dataset: 366.4 meV per atom

```
data_KCrOs2
_cell_length_a 2.855
_cell_length_b 4.612
_cell_length_c 10.253
_cell_angle_alpha 90.00
_cell_angle_beta 90.00
_cell_angle_gamma 90.00
_symmetry_space_group_name_H-M 'C m m 2'
_symmetry_Int_Tables_number 35
loop_
_symmetry_equiv_pos_as_xyz
'x,y,z'
'-x,-y,z'
'-x,y,z'
'x,-y,z'
'x+1/2,y+1/2,z'
'-x+1/2,-y+1/2,z'
'-x+1/2,y+1/2,z'
'x+1/2,-y+1/2,z'
loop_
_atom_site_label
_atom_site_type_symbol
_atom_site_fract_x
_atom_site_fract_y
_atom_site_fract_z
K1 K 0.000 0.000 0.000
Cr1 Cr 0.000 0.500 0.704
Os1 Os 0.000 0.000 0.510
Os2 Os 0.000 0.500 0.283
```

DFT (GGA-PBE) results for a relaxed La12Tb7Tm crystal.

crystal system: trigonal
ΔE_f: 0.192 eV per atom
E: -92.16 eV per formula unit
excess energy over the best structure of this formula in the dataset: 10.1 meV per atom

```
data_La12Tb7Tm
_cell_length_a 12.5239
_cell_length_b 12.5239
_cell_length_c 15.4678
_cell_angle_alpha 90.00
_cell_angle_beta 90.00
_cell_angle_gamma 120.00
_symmetry_space_group_name_H-M 'R -3'
_symmetry_Int_Tables_number 148
_symmetry_space_group_name_Hall '-R 3'
loop_
_atom_site_label
_atom_site_type_symbol
_atom_site_fract_x
_atom_site_fract_y
_atom_site_fract_z
La1 La 0.0147 0.4388 0.2207
La2 La 0.0666 0.5961 0.5775
Tb1 Tb 0.0000 0.0000 0.0000
Tb2 Tb 0.0522 0.1840 0.3079
Tm1 Tm 0.0000 0.0000 0.5000
```

DFT (GGA-PBE) results for a relaxed AcCeBi4 crystal.

crystal system: cubic
ΔE_f: -0.269 eV per atom
E: -27.18 eV per formula unit

```
data_AcCeBi4
_cell_length_a 9.381
_cell_length_b 9.381
_cell_length_c 9.381
_cell_angle_alpha 90.00
_cell_angle_beta 90.00
_cell_angle_gamma 90.00
_symmetry_space_group_name_H-M 'F -4 3 m'
_symmetry_Int_Tables_number 216
_symmetry_space_group_name_Hall 'F -4 2 3'
loop_
_atom_site_label
_atom_site_type_symbol
_atom_site_fract_x
_atom_site_fract_y
_atom_site_fract_z
Ac1 Ac 0.000 0.000 0.000
Ce1 Ce 0.250 0.250 0.250
Bi1 Bi 0.125 0.125 0.625
```

DFT (GGA-PBE) results for a relaxed CaCd2ReO6 crystal.

crystal system: monoclinic
raw formation energy: -1.64 eV/atom
E: -62.46 eV per formula unit

```
data_CaCd2ReO6
_cell_length_a 5.652
_cell_length_b 5.716
_cell_length_c 9.925
_cell_angle_alpha 90.00
_cell_angle_beta 124.57
_cell_angle_gamma 90.00
_symmetry_space_group_name_H-M 'P 1 21/c 1'
_symmetry_Int_Tables_number 14
loop_
_symmetry_equiv_pos_as_xyz
'x,y,z'
'-x,-y,-z'
'-x,y+1/2,-z+1/2'
'x,-y+1/2,z+1/2'
loop_
_atom_site_label
_atom_site_type_symbol
_atom_site_fract_x
_atom_site_fract_y
_atom_site_fract_z
Ca1 Ca 0.000 0.000 0.000
Cd1 Cd 0.240 0.038 0.741
Re1 Re 0.500 0.000 0.500
O1 O 0.171 0.071 0.276
O2 O 0.251 0.661 0.045
O3 O 0.422 0.215 0.071
```

DFT (GGA-PBE) results for a relaxed CaBiPb crystal.

crystal system: orthorhombic
ΔE_f: -0.462 eV per atom
E: -10.98 eV per formula unit
excess energy over the best structure of this formula in the dataset: 0.0 meV per atom

```
data_CaBiPb
_cell_length_a 4.705
_cell_length_b 17.043
_cell_length_c 4.648
_cell_angle_alpha 90.00
_cell_angle_beta 90.00
_cell_angle_gamma 90.00
_symmetry_space_group_name_H-M 'C m c m'
_symmetry_Int_Tables_number 63
_symmetry_space_group_name_Hall '-C 2c 2'
loop_
_atom_site_label
_atom_site_type_symbol
_atom_site_fract_x
_atom_site_fract_y
_atom_site_fract_z
Ca1 Ca 0.000 0.089 0.250
Bi1 Bi 0.000 0.425 0.250
Pb1 Pb 0.000 0.261 0.750
```

DFT (GGA-PBE) results for a relaxed Tl2CdSe2 crystal.

crystal system: tetragonal
raw formation energy: -0.09 eV/atom
E: -13.09 eV per formula unit
excess energy over the best structure of this formula in the dataset: 345.4 meV per atom

```
data_Tl2CdSe2
_cell_length_a 5.649
_cell_length_b 5.649
_cell_length_c 10.663
_cell_angle_alpha 90.00
_cell_angle_beta 90.00
_cell_angle_gamma 90.00
_symmetry_space_group_name_H-M 'I 4/m m m'
_symmetry_Int_Tables_number 139
_symmetry_space_group_name_Hall '-I 4 2'
loop_
_atom_site_label
_atom_site_type_symbol
_atom_site_fract_x
_atom_site_fract_y
_atom_site_fract_z
Tl1 Tl 0.000 0.500 0.250
Cd1 Cd 0.000 0.000 0.000
Se1 Se 0.000 0.000 0.387
```

DOS at the Fermi energy readings, ordered: 1.136, 1.839, 1.888, 0.242, 0.463, 0.009 states/eV per atom